# 1
MnRe2Se: optimized geometry, GGA-PBE.

```
data_MnRe2Se
_cell_length_a 6.146
_cell_length_b 6.146
_cell_length_c 6.146
_cell_angle_alpha 90.00
_cell_angle_beta 90.00
_cell_angle_gamma 90.00
_symmetry_space_group_name_H-M 'F -4 3 m'
_symmetry_Int_Tables_number 216
_symmetry_space_group_name_Hall 'F -4 2 3'
loop_
_atom_site_label
_atom_site_fract_x
_atom_site_fract_y
_atom_site_fract_z
Mn1 0.000 0.000 0.000
Re1 0.000 0.000 0.500
Re2 0.250 0.250 0.750
Se1 0.250 0.250 0.250
```

Values from the calculation:
The calculation puts the density of states at the Fermi level at 3.43 states/eV/f.u. The value obtained for the magnetization is 0.089 μB/atom. As for the electronic total energy: -139.63 eV per cell.



# 2
TmAlSn2: optimized geometry, GGA-PBE.

```
data_TmAlSn2
_cell_length_a 4.8857
_cell_length_b 4.8857
_cell_length_c 23.0369
_cell_angle_alpha 90.00
_cell_angle_beta 90.00
_cell_angle_gamma 120.00
_symmetry_space_group_name_H-M 'R -3 m'
_symmetry_Int_Tables_number 166
_symmetry_space_group_name_Hall '-R 3 2"'
loop_
_atom_site_label
_atom_site_fract_x
_atom_site_fract_y
_atom_site_fract_z
Tm1 0.0000 0.0000 0.0000
Al1 0.0000 0.0000 0.5000
Sn1 0.0000 0.0000 0.3854
```

Values from the calculation:
The calculation puts the density of states at the Fermi level at 3.88 states/eV/f.u. The value obtained for the magnetization is 0.000 μB/atom. Its formation energy is 1.76 eV per formula unit.



# 3
Tm8Te4Pt3S: optimized geometry, GGA-PBE.

```
data_Tm8Te4Pt3S
_cell_length_a 8.2553
_cell_length_b 8.2553
_cell_length_c 21.2584
_cell_angle_alpha 90.00
_cell_angle_beta 90.00
_cell_angle_gamma 120.00
_symmetry_space_group_name_H-M 'R -3 m'
_symmetry_Int_Tables_number 166
_symmetry_space_group_name_Hall '-R 3 2"'
loop_
_atom_site_label
_atom_site_fract_x
_atom_site_fract_y
_atom_site_fract_z
Tm1 0.0000 0.0000 0.2352
Tm2 0.0070 0.5035 0.7631
Te1 0.0000 0.0000 0.0000
Te2 0.0000 0.5000 0.0000
Pt1 0.0000 0.5000 0.5000
S1 0.0000 0.0000 0.5000
```

Values from the calculation:
The calculation puts the density of states at the Fermi level at 8.90 states/eV/f.u. The value obtained for the magnetization is 0.000 μB/atom. As for the electronic total energy: -275.98 eV per cell.



# 4
TlSbTe2F: optimized geometry, GGA-PBE.

```
data_TlSbTe2F
_cell_length_a 5.927
_cell_length_b 5.927
_cell_length_c 4.407
_cell_angle_alpha 90.00
_cell_angle_beta 90.00
_cell_angle_gamma 90.00
_symmetry_space_group_name_H-M 'P 4/m m m'
_symmetry_Int_Tables_number 123
_symmetry_space_group_name_Hall '-P 4 2'
loop_
_atom_site_label
_atom_site_fract_x
_atom_site_fract_y
_atom_site_fract_z
Tl1 0.000 0.000 0.000
Sb1 0.500 0.500 0.500
Te1 0.000 0.500 0.500
F1 0.500 0.500 0.000
```

Values from the calculation:
The calculation puts the density of states at the Fermi level at 4.11 states/eV/f.u. The value obtained for the magnetization is 0.000 μB/atom. As for the electronic total energy: -17.62 eV per cell.



# 5
ZrFeP: optimized geometry, GGA-PBE.

```
data_ZrFeP
_cell_length_a 6.325
_cell_length_b 3.761
_cell_length_c 7.083
_cell_angle_alpha 90.00
_cell_angle_beta 90.00
_cell_angle_gamma 90.00
_symmetry_space_group_name_H-M 'P n m a'
_symmetry_Int_Tables_number 62
loop_
_symmetry_equiv_pos_as_xyz
'x,y,z'
'-x,-y,-z'
'-x+1/2,-y,z+1/2'
'x+1/2,y,-z+1/2'
'x+1/2,-y+1/2,-z+1/2'
'-x+1/2,y+1/2,z+1/2'
'-x,y+1/2,-z'
'x,-y+1/2,z'
loop_
_atom_site_label
_atom_site_fract_x
_atom_site_fract_y
_atom_site_fract_z
Zr1 0.015 0.250 0.185
Fe1 0.146 0.250 0.562
P1 0.216 0.750 0.388
```

Values from the calculation:
The calculation puts the density of states at the Fermi level at 2.61 states/eV/f.u. The value obtained for the magnetization is 0.000 μB/atom. Its formation energy is -3.16 eV per formula unit.



# 6
Sm2FeCu: optimized geometry, GGA-PBE.

```
data_Sm2FeCu
_cell_length_a 3.2457
_cell_length_b 3.2457
_cell_length_c 30.3990
_cell_angle_alpha 90.00
_cell_angle_beta 90.00
_cell_angle_gamma 120.00
_symmetry_space_group_name_H-M 'R -3 m'
_symmetry_Int_Tables_number 166
_symmetry_space_group_name_Hall '-R 3 2"'
loop_
_atom_site_label
_atom_site_fract_x
_atom_site_fract_y
_atom_site_fract_z
Sm1 0.0000 0.0000 0.0898
Fe1 0.0000 0.0000 0.0000
Cu1 0.0000 0.0000 0.5000
```

Values from the calculation:
The calculation puts the density of states at the Fermi level at 4.52 states/eV/f.u. The value obtained for the magnetization is 0.558 μB/atom. Its formation energy is 2.64 eV per formula unit.